A relaxed structure of RbNa3S2, computed with PBE.

The structure in POSCAR format:
```
RbNa3S2
1.0
9.1118 -2.2610 0.0000
9.1118 2.2610 0.0000
-2.2230 0.0000 11.1275
Rb Na S
3 9 6
Cartesian
0.0000 0.0000 0.0000
1.3223 0.0000 7.8994
14.6783 0.0000 3.2281
0.0951 0.0000 3.5180
3.0721 0.0000 4.4159
5.8249 0.0000 0.3894
5.1209 0.0000 8.7817
8.0003 0.0000 5.5637
10.8797 0.0000 2.3458
10.1757 0.0000 10.7380
12.9285 0.0000 6.7116
15.9055 0.0000 7.6095
3.1704 0.0000 1.5154
5.3165 0.0000 6.0017
7.9787 0.0000 2.3635
8.0219 0.0000 8.7640
10.6841 0.0000 5.1257
12.8302 0.0000 9.6120
```

Results
Uncorrected formation energy   -0.994 eV per atom
Space-group type   C2/m (12)

A relaxed structure of Rb14NaS, computed with PBE.

The structure in POSCAR format:
```
Rb14NaS
1.0
13.4695 0.0000 0.0000
0.0000 5.9710 7.6997
0.0000 -5.9710 7.6997
Rb Na S
14 1 1
Cartesian
0.0000 0.0000 0.0000
0.0000 0.0000 7.2372
0.0000 -2.5050 11.3169
0.0000 2.5050 11.3169
3.2318 0.0000 3.5307
4.1055 0.0000 12.4310
4.5181 -2.0606 8.2848
4.5181 2.0606 8.2848
6.7347 -2.9226 4.0678
6.7347 2.9226 4.0678
8.9514 -2.0606 8.2848
8.9514 2.0606 8.2848
9.3640 0.0000 12.4310
10.2377 0.0000 3.5307
6.7347 0.0000 0.5787
6.7347 0.0000 10.1689
```

Results
Uncorrected formation energy   -0.132 eV per atom
Space-group type   Amm2 (38)

A relaxed structure of Rb3NaS8, computed with PBE.

The structure in POSCAR format:
```
Rb3NaS8
1.0
5.9097 -5.8644 0.0000
5.9097 5.8644 0.0000
-4.4123 0.0000 6.7185
Rb Na S
3 1 8
Cartesian
0.0000 0.0000 0.0000
3.1736 2.9440 3.4872
3.1736 -2.9440 3.4872
5.0888 0.0000 0.3013
-1.0054 0.0000 3.2820
-1.4965 0.0000 5.2509
1.2707 0.0000 3.0207
2.2432 0.0000 4.7813
6.2663 1.8278 2.0212
6.0082 1.1637 3.9098
6.2663 -1.8278 2.0212
6.0082 -1.1637 3.9098
```

Results
Uncorrected formation energy   -0.543 eV per atom
Space-group type   Cm (8)